(1)
KPrAgI5 | PBE | relaxed

Cell: 10.0984 13.8429 11.6582 Å, 90.00 112.43 90.00°
Last column: nearest neighbours and their distance in Å.
Space group C2/c (No. 15)
Unique sites:
1 K 0.0000 0.1334 0.2500 x4  5 I 3.55-3.79
2 Pr 0.0000 0.5000 0.0000 x4  6 I 3.14-3.18
3 Ag 0.0000 0.1887 0.7500 x4  4 I 2.84-2.88
4 I 0.0000 0.4074 0.2500 x4  2 Pr 3.18
5 I 0.1322 0.3011 0.6195 x8  1 Ag 2.84, 1 Pr 3.14
6 I 0.1838 0.0672 0.9470 x8  1 Ag 2.88, 1 Pr 3.15

Computed properties:
density of states at the Fermi level = 0.0 states/eV/cell
raw formation energy = -108.1 kJ per mole of atoms
calculated total energy = -3.1805 eV/atom

***

(2)
K2AgPtI6 | PBE | relaxed

Cell: 7.9546 7.9546 42.5515 Å, 90.00 90.00 120.00°
Last column: nearest neighbours and their distance in Å.
Space group R-3m (No. 166, hexagonal axes)
Unique sites:
1 K 0.0000 0.0000 0.1126 x6  9 I 3.87-4.04
2 K 0.0000 0.0000 0.3060 x6  9 I 3.66-4.01
3 Ag 0.0000 0.0000 0.4157 x6  6 I 2.99-3.01
4 Pt 0.0000 0.0000 0.0000 x3  6 I 2.78
5 Pt 0.0000 0.0000 0.5000 x3  6 I 2.77
6 I 0.0054 0.5027 0.1291 x18  1 Pt 2.77, 1 Ag 3.01
7 I 0.0072 0.5036 0.7053 x18  1 Pt 2.78, 1 Ag 2.99

Computed properties:
density of states at the Fermi level = 19.7 states/eV/cell
raw formation energy = -60.4 kJ per mole of atoms
calculated total energy = -2.6650 eV/atom

***

(3)
K2PuAgI5 | PBE | relaxed

Cell: 4.6690 20.9455 15.0273 Å, 90.00 90.00 90.00°
Last column: nearest neighbours and their distance in Å.
Space group Cmc2_1 (No. 36)
Unique sites:
1 K 0.0000 0.1132 0.0000 x4  6 I 3.56-3.96
2 K 0.0000 0.1177 0.6455 x4  7 I 3.54-3.86
3 Pu 0.0000 0.1982 0.3357 x4  6 I 3.19-3.24
4 Ag 0.0000 0.4315 0.7554 x4  4 I 2.82-2.97
5 I 0.0000 0.0470 0.3601 x4  2 Ag 2.85, 1 Pu 3.19
6 I 0.0000 0.2931 0.9836 x4  2 Pu 3.23
7 I 0.0000 0.2989 0.6861 x4  1 Ag 2.97, 2 Pu 3.24
8 I 0.0000 0.3522 0.3258 x4  1 Pu 3.23, 2 K 3.58
9 I 0.0000 0.4969 0.5912 x4  1 Ag 2.82

Computed properties:
density of states at the Fermi level = 73.4 states/eV/cell
raw formation energy = -101.2 kJ per mole of atoms
calculated total energy = -4.0633 eV/atom

***

(4)
KPuAgI5 | PBE | relaxed

Cell: 10.1269 13.6298 11.5382 Å, 90.00 113.14 90.00°
Last column: nearest neighbours and their distance in Å.
Space group C2/c (No. 15)
Unique sites:
1 K 0.0000 0.1394 0.2500 x4  5 I 3.56-3.71
2 Pu 0.0000 0.5000 0.0000 x4  6 I 3.10-3.12
3 Ag 0.0000 0.1900 0.7500 x4  4 I 2.83-2.88
4 I 0.0000 0.4118 0.2500 x4  2 Pu 3.12
5 I 0.1286 0.2979 0.6123 x8  1 Ag 2.83, 1 Pu 3.10
6 I 0.1876 0.0644 0.9469 x8  1 Ag 2.88, 1 Pu 3.10

Computed properties:
density of states at the Fermi level = 49.5 states/eV/cell
raw formation energy = -91.4 kJ per mole of atoms
calculated total energy = -4.2009 eV/atom

***

(5)
KPuAg2I8 | PBE | relaxed

Cell: 10.6481 10.6481 9.6072 Å, 90.00 90.00 90.00°
Last column: nearest neighbours and their distance in Å.
Space group I-4m2 (No. 119)
Unique sites:
1 K 0.0000 0.0000 0.0000 x2  8 I 3.52-3.71
2 Pu 0.0000 0.5000 0.7500 x2  8 I 3.18-3.25
3 Ag 0.0000 0.0000 0.5000 x2  4 I 2.85
4 Ag 0.0000 0.5000 0.2500 x2  4 I 2.79
5 I 0.0000 0.2061 0.6885 x8  1 Ag 2.85, 1 Pu 3.18
6 I 0.0000 0.3290 0.0301 x8  1 Ag 2.79

Computed properties:
density of states at the Fermi level = 51.1 states/eV/cell
raw formation energy = -55.5 kJ per mole of atoms
calculated total energy = -3.3694 eV/atom

***

(6)
K2PuAg2I6 | PBE | relaxed

Cell: 14.8387 8.8248 8.5970 Å, 90.00 120.07 90.00°
Last column: nearest neighbours and their distance in Å.
Space group C2/m (No. 12)
Unique sites:
1 K 0.2386 0.0000 0.1787 x4  5 I 3.49-3.61
2 Pu 0.0000 0.0000 0.5000 x2  6 I 3.17-3.20
3 Ag 0.0508 0.5000 0.1930 x4  3 I 2.80-2.85, 1 Ag 2.88
4 I 0.0691 0.2443 0.8143 x8  1 Ag 2.85
5 I 0.2332 0.0000 0.5804 x4  1 Ag 2.80

Computed properties:
density of states at the Fermi level = 33.7 states/eV/cell
raw formation energy = -83.1 kJ per mole of atoms
calculated total energy = -3.7273 eV/atom

***

(7)
K2Rb3AgI6 | PBE | relaxed

Cell: 8.6956 15.5190 8.7899 Å, 90.00 108.36 90.00°
Last column: nearest neighbours and their distance in Å.
Space group C2/m (No. 12)
Unique sites:
1 K 0.0000 0.1722 0.0000 x4  6 I 3.49-3.70
2 Rb 0.0000 0.0000 0.5000 x2  4 I 3.63
3 Rb 0.0000 0.3339 0.5000 x4  6 I 3.60-3.76
4 Ag 0.0000 0.5000 0.0000 x2  2 I 2.84
5 I 0.2083 0.5000 0.8082 x4  1 Ag 2.84
6 I 0.2485 0.1640 0.7566 x8  2 K 3.49-3.59, 1 Ag 3.59, 3 Rb 3.60-3.69

Computed properties:
density of states at the Fermi level = 0.0 states/eV/cell
raw formation energy = -119.7 kJ per mole of atoms
calculated total energy = -2.6781 eV/atom

***

(8)
KRbAgI | PBE | relaxed

Cell: 8.6936 8.6936 8.6936 Å, 90.00 90.00 90.00°
Last column: nearest neighbours and their distance in Å.
Space group F-43m (No. 216)
Unique sites:
1 K 0.0000 0.0000 0.0000 x4  4 I 3.76, 4 Ag 3.76
2 Rb 0.0000 0.0000 0.5000 x4  4 I 3.76, 4 Ag 3.76
3 Ag 0.2500 0.2500 0.2500 x4  4 Rb 3.76, 4 K 3.76
4 I 0.2500 0.2500 0.7500 x4  4 K 3.76, 4 Rb 3.76

Computed properties:
density of states at the Fermi level = 0.0 states/eV/cell
raw formation energy = -60.6 kJ per mole of atoms
calculated total energy = -2.2446 eV/atom

***

(9)
KRbAgI3 | PBE | relaxed

Cell: 10.6291 4.8177 11.0200 Å, 90.00 101.71 90.00°
Last column: nearest neighbours and their distance in Å.
Space group P2_1/m (No. 11)
Unique sites:
1 K 0.1546 0.2500 0.1531 x2  6 I 3.49-3.68
2 Rb 0.3189 0.7500 0.7858 x2  5 I 3.62-3.97
3 Ag 0.4253 0.7500 0.4161 x2  4 I 2.86-2.94
4 I 0.0775 0.2500 0.8279 x2  3 K 3.49-3.51, 2 Rb 3.62
5 I 0.2980 0.2500 0.4866 x2  3 Ag 2.92-2.94
6 I 0.4047 0.7500 0.1536 x2  1 Ag 2.86

Computed properties:
density of states at the Fermi level = 0.0 states/eV/cell
raw formation energy = -103.0 kJ per mole of atoms
calculated total energy = -2.6621 eV/atom

***

(10)
KRbAgI2 | PBE | relaxed

Cell: 6.7249 6.7249 6.9069 Å, 90.00 90.00 90.00°
Last column: nearest neighbours and their distance in Å.
Space group P4/mmm (No. 123)
Unique sites:
1 K 0.0000 0.0000 0.0000 x1  2 Rb 3.45
2 Rb 0.0000 0.0000 0.5000 x1  4 I 3.36, 2 K 3.45
3 Ag 0.5000 0.5000 0.0000 x1  4 K 4.76, 8 I 4.82
4 I 0.0000 0.5000 0.5000 x2  2 Rb 3.36

Computed properties:
density of states at the Fermi level = 1.8 states/eV/cell
raw formation energy = -21.2 kJ per mole of atoms
calculated total energy = -1.8234 eV/atom

***

(11)
KRb2AgI6 | PBE | relaxed

Cell: 8.7870 8.7870 12.3432 Å, 90.00 90.00 90.00°
Last column: nearest neighbours and their distance in Å.
Space group I4/mmm (No. 139)
Unique sites:
1 K 0.0000 0.0000 0.0000 x2  6 I 3.32
2 Rb 0.0000 0.5000 0.2500 x4  12 I 4.38-4.40
3 Ag 0.0000 0.0000 0.5000 x2  6 I 2.85-2.89
4 I 0.0000 0.0000 0.2690 x4  1 Ag 2.85
5 I 0.2328 0.2328 0.5000 x8  1 Ag 2.89

Computed properties:
density of states at the Fermi level = 13.8 states/eV/cell
raw formation energy = -75.0 kJ per mole of atoms
calculated total energy = -2.2958 eV/atom

***

(12)
KAgRuI6 | PBE | relaxed

Cell: 7.5121 13.0308 7.5448 Å, 90.00 90.07 90.00°
Last column: nearest neighbours and their distance in Å.
Space group C2 (No. 5)
Unique sites:
1 K 0.0000 0.0000 0.0000 x2  6 I 3.56
2 Ag 0.0000 0.6664 0.5000 x2  6 I 2.99-3.00
3 Ru 0.0000 0.3332 0.5000 x2  6 I 2.71
4 I 0.1298 0.4853 0.2921 x4  1 Ru 2.71, 1 Ag 3.00
5 I 0.1639 0.1922 0.2922 x4  1 Ru 2.71, 1 Ag 2.99
6 I 0.2066 0.8217 0.2915 x4  1 Ru 2.71, 1 Ag 3.00

Computed properties:
density of states at the Fermi level = 21.1 states/eV/cell
raw formation energy = -32.3 kJ per mole of atoms
calculated total energy = -2.8375 eV/atom

***

(13)
K2AgSI | PBE | relaxed

Cell: 6.2153 6.2153 4.7060 Å, 90.00 90.00 90.00°
Last column: nearest neighbours and their distance in Å.
Space group P4/mmm (No. 123)
Unique sites:
1 K 0.0000 0.5000 0.0000 x2  2 S 3.11
2 Ag 0.0000 0.0000 0.5000 x1  2 S 2.35
3 S 0.0000 0.0000 0.0000 x1  2 Ag 2.35
4 I 0.5000 0.5000 0.5000 x1  8 K 3.90

Computed properties:
raw formation energy = -90.2 kJ per mole of atoms
calculated total energy = -3.0792 eV/atom

***

(14)
KAgSbI2 | PBE | relaxed

Cell: 6.0591 6.0591 5.4051 Å, 90.00 90.00 90.00°
Last column: nearest neighbours and their distance in Å.
Space group P4/mmm (No. 123)
Unique sites:
1 K 0.0000 0.0000 0.0000 x1  8 I 4.06, 4 Sb 4.28
2 Ag 0.5000 0.5000 0.5000 x1  2 Sb 2.70
3 Sb 0.5000 0.5000 0.0000 x1  2 Ag 2.70
4 I 0.0000 0.5000 0.5000 x2  2 Ag 3.03

Computed properties:
density of states at the Fermi level = 3.3 states/eV/cell
raw formation energy = -21.6 kJ per mole of atoms
calculated total energy = -2.4584 eV/atom

***

(15)
KAgSbI2 | PBE | relaxed

Cell: 6.4934 6.4934 6.5122 Å, 90.00 90.00 90.00°
Last column: nearest neighbours and their distance in Å.
Space group P4/mmm (No. 123)
Unique sites:
1 K 0.0000 0.0000 0.0000 x1  4 I 3.25, 2 Sb 3.26
2 Ag 0.5000 0.5000 0.5000 x1  4 Sb 4.59, 8 I 4.60
3 Sb 0.0000 0.0000 0.5000 x1  2 K 3.26
4 I 0.0000 0.5000 0.0000 x2  2 K 3.25

Computed properties:
density of states at the Fermi level = 3.2 states/eV/cell
raw formation energy = 46.8 kJ per mole of atoms
calculated total energy = -1.7492 eV/atom

***

(16)
KAgSbI5 | PBE | relaxed

Cell: 9.9678 13.7480 11.3678 Å, 90.00 112.72 90.00°
Last column: nearest neighbours and their distance in Å.
Space group C2/c (No. 15)
Unique sites:
1 K 0.0000 0.1404 0.2500 x4  5 I 3.59-3.78
2 Ag 0.0000 0.1932 0.7500 x4  4 I 2.82-2.88
3 Sb 0.0000 0.5000 0.0000 x4  6 I 3.06-3.07
4 I 0.0000 0.4153 0.2500 x4  2 Sb 3.07
5 I 0.1212 0.2995 0.6031 x8  1 Ag 2.82, 1 Sb 3.06
6 I 0.1875 0.0647 0.9439 x8  1 Ag 2.88, 1 Sb 3.06

Computed properties:
raw formation energy = -55.9 kJ per mole of atoms
calculated total energy = -2.5570 eV/atom

***

(17)
K2AgSbI6 | PBE | relaxed

Cell: 12.0204 12.0204 12.0204 Å, 90.00 90.00 90.00°
Last column: nearest neighbours and their distance in Å.
Space group Fm-3m (No. 225)
Unique sites:
1 K 0.2500 0.2500 0.2500 x8  12 I 4.25
2 Ag 0.0000 0.0000 0.0000 x4  6 I 2.99
3 Sb 0.0000 0.0000 0.5000 x4  6 I 3.02
4 I 0.0000 0.0000 0.2485 x24  1 Ag 2.99, 1 Sb 3.02

Computed properties:
raw formation energy = -69.1 kJ per mole of atoms
calculated total energy = -2.5632 eV/atom

***

(18)
K2AgSbI6 | PBE | relaxed

Cell: 8.1803 8.5450 14.2154 Å, 90.00 124.94 90.00°
Last column: nearest neighbours and their distance in Å.
Space group P2_1/c (No. 14)
Unique sites:
1 K 0.2194 0.0848 0.2477 x4  6 I 3.57-3.76
2 Ag 0.0000 0.0000 0.5000 x2  6 I 3.00-3.10
3 Sb 0.5000 0.0000 0.0000 x2  6 I 3.06-3.07
4 I 0.1445 0.1973 0.9486 x4  1 Sb 3.07, 1 Ag 3.10
5 I 0.2599 0.6988 0.9524 x4  1 Sb 3.07, 1 Ag 3.08
6 I 0.3492 0.0161 0.7472 x4  1 Ag 3.00, 1 Sb 3.06

Computed properties:
raw formation energy = -73.7 kJ per mole of atoms
calculated total energy = -2.6107 eV/atom

***

(19)
KScAg2I6 | PBE | relaxed

Cell: 16.0688 14.0987 8.7213 Å, 90.00 111.79 90.00°
Last column: nearest neighbours and their distance in Å.
Space group C2/c (No. 15)
Unique sites:
1 K 0.0000 0.1552 0.2500 x4  6 I 3.59-3.85
2 Sc 0.0000 0.1752 0.7500 x4  4 I 2.72-2.74
3 Ag 0.0599 0.4512 0.1474 x8  4 I 2.84-3.05, 2 Ag 2.92-3.08
4 I 0.1158 0.2697 0.0200 x8  1 Sc 2.74, 1 Ag 3.05
5 I 0.1166 0.0665 0.6656 x8  1 Sc 2.72
6 I 0.1346 0.4130 0.4918 x8  3 Ag 2.84-2.95

Computed properties:
density of states at the Fermi level = 0.0 states/eV/cell
raw formation energy = -80.7 kJ per mole of atoms
calculated total energy = -3.0791 eV/atom

***

(20)
KScAgI5 | PBE | relaxed

Cell: 9.6802 13.4619 11.0537 Å, 90.00 111.19 90.00°
Last column: nearest neighbours and their distance in Å.
Space group C2/c (No. 15)
Unique sites:
1 K 0.0000 0.1431 0.2500 x4  5 I 3.54-3.77
2 Sc 0.0000 0.5000 0.0000 x4  6 I 2.89-2.95
3 Ag 0.0000 0.1879 0.7500 x4  4 I 2.82-2.87
4 I 0.0000 0.4235 0.2500 x4  2 Sc 2.95
5 I 0.1169 0.3072 0.6001 x8  1 Ag 2.82, 1 Sc 2.89
6 I 0.1977 0.0651 0.9495 x8  1 Ag 2.87, 1 Sc 2.91

Computed properties:
density of states at the Fermi level = 0.0 states/eV/cell
raw formation energy = -98.2 kJ per mole of atoms
calculated total energy = -3.2718 eV/atom